A plane-wave DFT calculation with PBE was carried out for an optimized crystal structure of Mg2MoSe.

Summary:
volume	19.64	Å³/atom
VASP energy	-33.56	eV per cell
spin magnetization	0.00	μB per formula unit

Lattice parameters (Å, degrees): 3.4199 5.1010 9.0087 90.00 90.00 90.00
With the nearest neighbours (Å) after each atom.
Space group Cmm2 (No. 35)
One atom of each set of equivalent atoms:
Mg (0.0000, 0.0000, 0.0000) (multiplicity 2)  2 Se 2.94, 6 Mg 3.07
Mg (0.0000, 0.5000, 0.2825) (multiplicity 2)  2 Mo 2.82, 6 Mg 3.07
Mo (0.0000, 0.0000, 0.5312) (multiplicity 2)  2 Se 2.50
Se (0.0000, 0.5000, 0.7343) (multiplicity 2)  2 Mo 2.50